Record 1
ZnBr | GGA-PBE | relaxed

Cell lengths 6.9267, 6.9267, 9.4530 Å; angles 46.54, 46.54, 31.28 degrees
Sites, in units of the cell vectors:
Zn: 0.1109 0.1109 0.3275
Zn: 0.6070 0.6070 0.6920
Br: 0.2756 0.2756 0.4322
Br: 0.0136 0.0136 0.9522
Br: 0.4169 0.4169 0.6959
Zn: 0.7427 0.7427 0.0670

Results
Crystal system ... monoclinic
Magnetization ... 0.000 μB/f.u.
Electronic total energy ... -1.8633 eV per atom
Formation energy without anion corrections ... -0.8 eV/f.u.

Record 2
CoNiW2 | GGA-PBE | relaxed

Cell lengths 2.7056, 2.7056, 7.3768 Å; angles 90.00, 90.00, 89.91 degrees
Site moments in Bohr magnetons follow the coordinates.
Sites, in units of the cell vectors:
Co: 0.0000 0.0000 0.5116  0.36
Ni: 0.5000 0.5000 0.7327  0.10
W: 0.5000 0.5000 0.2809  -0.03
W: 0.0000 0.0000 0.9748  -0.02

Results
Crystal system ... tetragonal
Magnetization ... 0.394 μB/f.u.
E_form ... 121 meV per atom
Electronic total energy ... -9.5777 eV per atom
ΔE to the lowest computed polymorph ... 80 meV/atom

Record 3
PHPbO4 | GGA-PBE | relaxed

Cell lengths 6.7995, 4.7708, 5.8894 Å; angles 83.41, 90.00, 90.00 degrees
Sites, in units of the cell vectors:
O: 0.6496 0.6211 0.4247
O: 0.9132 0.2549 0.3843
H: 0.5227 0.5097 0.4782
H: 0.4773 0.5097 0.9782
Pb: 0.8075 0.0032 0.7782
O: 0.3504 0.6211 0.9247
O: 0.6632 0.3707 0.0621
O: 0.0868 0.2549 0.8843
O: 0.9202 0.7352 0.1403
O: 0.3368 0.3707 0.5621
Pb: 0.1925 0.0032 0.2782
O: 0.0798 0.7352 0.6403
P: 0.7896 0.4889 0.2470
P: 0.2104 0.4889 0.7470

Results
Crystal system ... monoclinic
Magnetization ... 0.000 μB/f.u.
Electronic total energy ... -6.4040 eV per atom

Record 4
Nb2In2Bi | GGA-PBE | relaxed

Cell lengths 8.7751, 8.7751, 3.0469 Å; angles 90.00, 90.00, 90.00 degrees
Sites, in units of the cell vectors:
Bi: 0.0000 0.0000 0.0000
Bi: 0.5000 0.5000 0.0000
In: 0.3204 0.8204 0.0000
Nb: 0.1096 0.6096 0.5000
Nb: 0.3904 0.1096 0.5000
In: 0.6796 0.1796 0.0000
Nb: 0.6096 0.8904 0.5000
In: 0.1796 0.3204 0.0000
Nb: 0.8904 0.3904 0.5000
In: 0.8204 0.6796 0.0000

Results
Crystal system ... tetragonal
Magnetization ... 0.000 μB/f.u.
E_form ... 293 meV per atom
Electronic total energy ... -5.6060 eV per atom
ΔE to the lowest computed polymorph ... 107 meV/atom

Record 5
K2HgRu | GGA-PBE | relaxed

Cell lengths 3.2059, 3.2059, 10.8069 Å; angles 90.00, 90.00, 90.00 degrees
Site moments in Bohr magnetons follow the coordinates.
Sites, in units of the cell vectors:
Ru: 0.5000 0.5000 0.2500  1.75
Hg: 0.5000 0.5000 0.7500  0.01
K: 0.0000 0.0000 0.0205  -0.01
K: 0.0000 0.0000 0.4795  -0.01

Results
Crystal system ... tetragonal
Magnetization ... 1.830 μB/f.u.
E_form ... 743 meV per atom
Electronic total energy ... -2.2000 eV per atom

Record 6
Sr6HPd2 | GGA-PBE | relaxed

Cell lengths 7.0980, 8.1162, 10.4636 Å; angles 90.00, 89.03, 90.00 degrees
Sites, in units of the cell vectors:
Pd: 0.0462 0.6176 0.7545
Sr: 0.6646 0.1777 0.0694
Pd: 0.9538 0.3824 0.2455
Sr: 0.3571 0.5411 0.2433
Sr: 0.1782 0.3313 0.9351
Sr: 0.1646 0.3223 0.5694
Sr: 0.3354 0.8223 0.9306
Sr: 0.3218 0.8313 0.5649
H: 0.5000 0.5000 0.0000
Sr: 0.6782 0.1687 0.4351
H: 0.0000 0.0000 0.5000
Sr: 0.6429 0.4589 0.7567
Sr: 0.1429 0.0411 0.2567
Sr: 0.8218 0.6687 0.0649
Sr: 0.8354 0.6777 0.4306
Pd: 0.4538 0.1176 0.7455
Sr: 0.8571 0.9589 0.7433
Pd: 0.5462 0.8824 0.2545

Results
Crystal system ... monoclinic
Magnetization ... 0.000 μB/f.u.
Electronic total energy ... -3.0519 eV per atom